CaGdBeZn | PBE-GGA | relaxed

Computed properties:
Calculated formation energy, eV/atom: 0.00
Total magnetic moment, μB per cell: 7.14

a = 5.027 Å, b = 5.027 Å, c = 5.027 Å
α = 60.00°, β = 60.00°, γ = 60.00°
Atoms (fractional coordinates):
Ca1 0.000 0.000 0.000
Zn1 0.250 0.250 0.250
Be1 0.750 0.750 0.750
Gd1 0.500 0.500 0.500


Ca3Be2Ge4 | PBE-GGA | relaxed

Computed properties:
Calculated formation energy, eV/atom: -0.41
Total magnetic moment, μB per cell: 0.00
Offset from the most stable computed form, eV/atom: 0.0657

a = 4.104 Å, b = 5.834 Å, c = 8.053 Å
α = 101.59°, β = 90.00°, γ = 110.59°
Atoms (fractional coordinates):
Ge1 0.289 0.579 0.920
Ge2 0.711 0.421 0.080
Be1 0.296 0.593 0.621
Ca1 0.000 0.000 0.000
Be2 0.704 0.407 0.379
Ca2 0.389 0.778 0.301
Ge3 0.904 0.808 0.599
Ca3 0.611 0.222 0.699
Ge4 0.096 0.192 0.401


Ca3BeGe | PBE-GGA | relaxed

Computed properties:
Calculated formation energy, eV/atom: 0.28
Total magnetic moment, μB per cell: 0.00
Offset from the most stable computed form, eV/atom: 0.0000

a = 5.639 Å, b = 5.639 Å, c = 5.639 Å
α = 90.00°, β = 90.00°, γ = 90.00°
Atoms (fractional coordinates):
Ge1 0.000 0.000 0.000
Be1 0.500 0.500 0.500
Ca1 0.000 0.000 0.500
Ca2 0.000 0.500 0.000
Ca3 0.500 0.000 0.000


CaBe2Ge | PBE-GGA | relaxed

Computed properties:
Calculated formation energy, eV/atom: 0.04
Total magnetic moment, μB per cell: 0.00

a = 4.414 Å, b = 4.414 Å, c = 8.251 Å
α = 74.49°, β = 74.49°, γ = 90.00°
Atoms (fractional coordinates):
Ge1 0.750 0.250 0.500
Be1 0.875 0.125 0.250
Be2 0.875 0.625 0.250
Be3 0.375 0.125 0.750
Ca1 0.500 0.500 0.000
Be4 0.875 0.125 0.750
Ge2 0.000 0.000 0.000
Ca2 0.250 0.750 0.500